This record from Alexandria via LeMat-Bulk describes Th8NiSe4S3 after structural relaxation. The functional is GGA-PBE.

Structure (POSCAR):
```
Th8NiSe4S3
1.0
8.1780 0.0000 0.0000
0.0000 8.3964 0.1470
-4.0890 -4.0848 5.7863
Th Ni Se S
8 1 4 3
direct
0.2405 0.7288 0.9884
0.2405 0.7288 0.4810
0.2561 0.2682 0.5121
0.7479 0.7288 0.9884
0.2521 0.2712 0.0116
0.7439 0.7318 0.4879
0.7595 0.2712 0.5190
0.7595 0.2712 0.0116
0.0000 0.5000 0.0000
0.5000 0.0000 0.0000
0.5000 0.0000 0.5000
0.0000 0.0000 0.0000
0.0000 0.0000 0.5000
0.5000 0.5000 0.0000
0.5000 0.5000 0.5000
0.0000 0.5000 0.5000
```

Results
The uncorrected formation energy is -1.52 eV per atom.